Entry 1:
! KRe2Hg (PBEsol, optimized geometry); values from VASP
! Energy relative to the elements ... 0.6261 eV/atom
! Total moment ... 0.000 μB/atom
! E_tot ... -25.860 eV/f.u.
&SYSTEM
  ibrav = 0, nat = 4, ntyp = 3
/
ATOMIC_SPECIES
K 39.10 K.upf
Re 186.21 Re.upf
Hg 200.59 Hg.upf
CELL_PARAMETERS angstrom
1.4338 0.8278 10.4738
-1.4338 0.8278 10.4738
0.0000 -1.6556 10.4738
ATOMIC_POSITIONS crystal
K 0.0000 0.0000 0.0000
Re 0.2394 0.2394 0.2394
Re 0.5090 0.5090 0.5090
Hg 0.7618 0.7618 0.7618

Entry 2:
! KReHg (PBEsol, optimized geometry); values from VASP
! Energy relative to the elements ... 1.2811 eV/atom
! Total moment ... 0.000 μB/atom
! E_tot ... -11.189 eV/f.u.
&SYSTEM
  ibrav = 0, nat = 3, ntyp = 3
/
ATOMIC_SPECIES
K 39.10 K.upf
Re 186.21 Re.upf
Hg 200.59 Hg.upf
CELL_PARAMETERS angstrom
5.2132 0.0000 0.0000
-2.6066 4.5148 0.0000
0.0000 0.0000 2.6742
ATOMIC_POSITIONS crystal
K 0.0000 0.0000 0.0000
Re 0.3333 0.6667 0.5000
Hg 0.6667 0.3333 0.5000

Entry 3:
! KReHg4 (PBEsol, optimized geometry); values from VASP
! Energy relative to the elements ... 0.8139 eV/atom
! Total moment ... 0.554 μB/atom
! E_tot ... -11.849 eV/f.u.
&SYSTEM
  ibrav = 0, nat = 6, ntyp = 3
/
ATOMIC_SPECIES
K 39.10 K.upf
Re 186.21 Re.upf
Hg 200.59 Hg.upf
CELL_PARAMETERS angstrom
0.0000 4.0855 4.0855
4.0855 0.0000 4.0855
4.0855 4.0855 0.0000
ATOMIC_POSITIONS crystal
K 0.0000 0.0000 0.0000
Re 0.7500 0.7500 0.7500
Hg 0.3756 0.3756 0.3756
Hg 0.3756 0.3756 0.8732
Hg 0.3756 0.8732 0.3756
Hg 0.8732 0.3756 0.3756

Entry 4:
! KHg2Rh (PBEsol, optimized geometry); values from VASP
! Relative energy among the computed polymorphs ... 41 meV/atom
! Energy relative to the elements ... 0.0926 eV/atom
! Total moment ... 0.000 μB/atom
! E_tot ... -10.035 eV/f.u.
&SYSTEM
  ibrav = 0, nat = 4, ntyp = 3
/
ATOMIC_SPECIES
K 39.10 K.upf
Hg 200.59 Hg.upf
Rh 102.91 Rh.upf
CELL_PARAMETERS angstrom
3.2604 0.0000 0.0000
0.0000 3.2604 0.0000
0.0000 0.0000 8.2727
ATOMIC_POSITIONS crystal
K 0.0000 0.0000 0.0000
Hg 0.5000 0.5000 0.3062
Hg 0.5000 0.5000 0.6938
Rh 0.0000 0.0000 0.5000

Entry 5:
! KHg2Rh (PBEsol, optimized geometry); values from VASP
! Relative energy among the computed polymorphs ... 0 meV/atom
! Energy relative to the elements ... 0.0519 eV/atom
! Total moment ... 0.000 μB/atom
! E_tot ... -10.198 eV/f.u.
&SYSTEM
  ibrav = 0, nat = 4, ntyp = 3
/
ATOMIC_SPECIES
K 39.10 K.upf
Hg 200.59 Hg.upf
Rh 102.91 Rh.upf
CELL_PARAMETERS angstrom
-1.5447 2.2108 7.3923
1.5447 -2.2108 7.3923
1.5447 2.2108 -7.3923
ATOMIC_POSITIONS crystal
K 0.0000 0.0000 0.0000
Hg 0.3486 0.3486 0.0000
Hg 0.6835 0.1835 0.5000
Rh 0.1959 0.6959 0.5000

Entry 6:
! KHg3Rh (PBEsol, optimized geometry); values from VASP
! Energy relative to the elements ... -0.1150 eV/atom
! Total moment ... 0.000 μB/atom
! E_tot ... -11.547 eV/f.u.
&SYSTEM
  ibrav = 0, nat = 5, ntyp = 3
/
ATOMIC_SPECIES
K 39.10 K.upf
Hg 200.59 Hg.upf
Rh 102.91 Rh.upf
CELL_PARAMETERS angstrom
5.2000 0.0000 0.0000
0.0000 5.2000 0.0000
0.0000 0.0000 5.2000
ATOMIC_POSITIONS crystal
K 0.0000 0.0000 0.0000
Hg 0.0000 0.5000 0.5000
Hg 0.5000 0.0000 0.5000
Hg 0.5000 0.5000 0.0000
Rh 0.5000 0.5000 0.5000

Entry 7:
! KHg2Rh (PBEsol, optimized geometry); values from VASP
! Relative energy among the computed polymorphs ... 107 meV/atom
! Energy relative to the elements ... 0.1585 eV/atom
! Total moment ... 0.000 μB/atom
! E_tot ... -9.771 eV/f.u.
&SYSTEM
  ibrav = 0, nat = 4, ntyp = 3
/
ATOMIC_SPECIES
K 39.10 K.upf
Hg 200.59 Hg.upf
Rh 102.91 Rh.upf
CELL_PARAMETERS angstrom
3.6526 0.0000 0.0000
0.0000 3.6526 0.0000
0.0000 0.0000 7.6078
ATOMIC_POSITIONS crystal
K 0.0000 0.0000 0.0000
Hg 0.0000 0.0000 0.4205
Hg 0.5000 0.5000 0.6928
Rh 0.5000 0.5000 0.3364

Entry 8:
! KHgRu2Rh (PBEsol, optimized geometry); values from VASP
! Energy relative to the elements ... 2.7772 eV/atom
! Total moment ... 0.000 μB/atom
! E_tot ... -16.298 eV/f.u.
&SYSTEM
  ibrav = 0, nat = 5, ntyp = 4
/
ATOMIC_SPECIES
K 39.10 K.upf
Hg 200.59 Hg.upf
Ru 101.07 Ru.upf
Rh 102.91 Rh.upf
CELL_PARAMETERS angstrom
4.3493 0.0000 0.0000
0.0000 4.3493 0.0000
0.0000 0.0000 5.1106
ATOMIC_POSITIONS crystal
K 0.0000 0.0000 0.0000
Hg 0.0000 0.0000 0.5000
Ru 0.0000 0.5000 0.0000
Ru 0.5000 0.0000 0.0000
Rh 0.5000 0.5000 0.5000